# Tm3FePb (GGA-PBE, optimized geometry)
data_Tm3FePb
_chemical_formula_sum 'Tm3 Fe1 Pb1'
_cell_length_a 5.0787
_cell_length_b 5.0787
_cell_length_c 5.0787
_cell_angle_alpha 90.00
_cell_angle_beta 90.00
_cell_angle_gamma 90.00
_symmetry_space_group_name_H-M 'P m -3 m'
_symmetry_Int_Tables_number 221
_symmetry_space_group_name_Hall '-P 4 2 3'
loop_
_atom_site_label
_atom_site_fract_x
_atom_site_fract_y
_atom_site_fract_z
_atom_site_occupancy
Tm1 0.0000 0.0000 0.5000 1
Fe1 0.0000 0.0000 0.0000 1
Pb1 0.5000 0.5000 0.5000 1
# Calculated density: 9.759 g/cm³
# Distance to the lowest polymorph of the same formula: 165 meV per atom
# E_form: -0.090 eV/atom

=====

# Tm8FePb2 (GGA-PBE, optimized geometry)
data_Tm8FePb2
_chemical_formula_sum 'Tm16 Fe2 Pb4'
_cell_length_a 17.9243
_cell_length_b 5.1098
_cell_length_c 6.5311
_cell_angle_alpha 90.00
_cell_angle_beta 95.99
_cell_angle_gamma 90.00
_symmetry_space_group_name_H-M 'C 1 2/m 1'
_symmetry_Int_Tables_number 12
loop_
_symmetry_equiv_pos_as_xyz
'x,y,z'
'-x,-y,-z'
'-x,y,-z'
'x,-y,z'
'x+1/2,y+1/2,z'
'-x+1/2,-y+1/2,-z'
'-x+1/2,y+1/2,-z'
'x+1/2,-y+1/2,z'
loop_
_atom_site_label
_atom_site_fract_x
_atom_site_fract_y
_atom_site_fract_z
_atom_site_occupancy
Tm1 0.0237 0.0000 0.2774 1
Tm2 0.0870 0.5000 0.8820 1
Tm3 0.1372 0.5000 0.4026 1
Tm4 0.2119 0.0000 0.1414 1
Fe1 0.0000 0.5000 0.5000 1
Pb1 0.1759 0.0000 0.6643 1
# Calculated density: 10.170 g/cm³
# Distance to the lowest polymorph of the same formula: 4 meV per atom
# E_form: -0.153 eV/atom

=====

# Tm5Fe2Pb (GGA-PBE, optimized geometry)
data_Tm5Fe2Pb
_chemical_formula_sum 'Tm20 Fe8 Pb4'
_cell_length_a 7.2282
_cell_length_b 7.2282
_cell_length_c 15.0115
_cell_angle_alpha 90.00
_cell_angle_beta 90.00
_cell_angle_gamma 90.00
_symmetry_space_group_name_H-M 'I 4/m c m'
_symmetry_Int_Tables_number 140
_symmetry_space_group_name_Hall '-I 4 2c'
loop_
_atom_site_label
_atom_site_fract_x
_atom_site_fract_y
_atom_site_fract_z
_atom_site_occupancy
Tm1 0.0000 0.0000 0.0000 1
Tm2 0.1781 0.3219 0.1273 1
Fe1 0.1078 0.3922 0.5000 1
Pb1 0.0000 0.0000 0.2500 1
# Calculated density: 9.854 g/cm³
# E_form: -0.196 eV/atom

=====

# TmFe4Pb (GGA-PBE, optimized geometry)
data_TmFe4Pb
_chemical_formula_sum 'Tm4 Fe16 Pb4'
_cell_length_a 7.1703
_cell_length_b 7.1703
_cell_length_c 7.1703
_cell_angle_alpha 90.00
_cell_angle_beta 90.00
_cell_angle_gamma 90.00
_symmetry_space_group_name_H-M 'F -4 3 m'
_symmetry_Int_Tables_number 216
_symmetry_space_group_name_Hall 'F -4 2 3'
loop_
_atom_site_label
_atom_site_fract_x
_atom_site_fract_y
_atom_site_fract_z
_atom_site_occupancy
Tm1 0.0000 0.0000 0.0000 1
Fe1 0.1255 0.1255 0.3745 1
Pb1 0.2500 0.2500 0.7500 1
# Calculated density: 10.802 g/cm³
# E_form: 0.034 eV/atom

=====

# Tm5Fe2Pb2 (GGA-PBE, optimized geometry)
data_Tm5Fe2Pb2
_chemical_formula_sum 'Tm20 Fe8 Pb8'
_cell_length_a 16.7059
_cell_length_b 7.3495
_cell_length_c 7.2672
_cell_angle_alpha 90.00
_cell_angle_beta 90.00
_cell_angle_gamma 90.00
_symmetry_space_group_name_H-M 'C m c e'
_symmetry_Int_Tables_number 64
_symmetry_space_group_name_Hall '-C 2ac 2'
loop_
_atom_site_label
_atom_site_fract_x
_atom_site_fract_y
_atom_site_fract_z
_atom_site_occupancy
Tm1 0.0000 0.0000 0.0000 1
Tm2 0.1152 0.1838 0.3181 1
Fe1 0.0000 0.1079 0.6063 1
Pb1 0.2327 0.0000 0.0000 1
# Calculated density: 10.204 g/cm³
# E_form: -0.207 eV/atom

=====

# Tm8FePb2 (GGA-PBE, optimized geometry)
data_Tm8FePb2
_chemical_formula_sum 'Tm16 Fe2 Pb4'
_cell_length_a 17.6855
_cell_length_b 5.2845
_cell_length_c 6.6644
_cell_angle_alpha 90.00
_cell_angle_beta 107.40
_cell_angle_gamma 90.00
_symmetry_space_group_name_H-M 'C 1 2/m 1'
_symmetry_Int_Tables_number 12
loop_
_symmetry_equiv_pos_as_xyz
'x,y,z'
'-x,-y,-z'
'-x,y,-z'
'x,-y,z'
'x+1/2,y+1/2,z'
'-x+1/2,-y+1/2,-z'
'-x+1/2,y+1/2,-z'
'x+1/2,-y+1/2,z'
loop_
_atom_site_label
_atom_site_fract_x
_atom_site_fract_y
_atom_site_fract_z
_atom_site_occupancy
Tm1 0.0123 0.0000 0.2363 1
Tm2 0.0896 0.5000 0.7537 1
Tm3 0.1390 0.5000 0.2969 1
Tm4 0.2053 0.0000 0.0938 1
Fe1 0.0000 0.5000 0.0000 1
Pb1 0.1710 0.0000 0.6054 1
# Calculated density: 10.180 g/cm³
# Distance to the lowest polymorph of the same formula: 0 meV per atom
# E_form: -0.157 eV/atom

=====

# Tm5FePb2 (GGA-PBE, optimized geometry)
data_Tm5FePb2
_chemical_formula_sum 'Tm20 Fe4 Pb8'
_cell_length_a 5.3593
_cell_length_b 16.4395
_cell_length_c 12.2981
_cell_angle_alpha 90.00
_cell_angle_beta 90.00
_cell_angle_gamma 90.00
_symmetry_space_group_name_H-M 'C m c m'
_symmetry_Int_Tables_number 63
_symmetry_space_group_name_Hall '-C 2c 2'
loop_
_atom_site_label
_atom_site_fract_x
_atom_site_fract_y
_atom_site_fract_z
_atom_site_occupancy
Tm1 0.0000 0.0697 0.1109 1
Tm2 0.0000 0.2830 0.0855 1
Tm3 0.0000 0.3021 0.7500 1
Fe1 0.0000 0.1778 0.2500 1
Pb1 0.0000 0.1248 0.6221 1
# Calculated density: 8.061 g/cm³
# E_form: 0.090 eV/atom

=====

# Tm3FePb (GGA-PBE, optimized geometry)
data_Tm3FePb
_chemical_formula_sum 'Tm6 Fe2 Pb2'
_cell_length_a 8.3769
_cell_length_b 3.9417
_cell_length_c 8.4998
_cell_angle_alpha 90.00
_cell_angle_beta 116.29
_cell_angle_gamma 90.00
_symmetry_space_group_name_H-M 'P 1 21/m 1'
_symmetry_Int_Tables_number 11
loop_
_symmetry_equiv_pos_as_xyz
'x,y,z'
'-x,-y,-z'
'-x,y+1/2,-z'
'x,-y+1/2,z'
loop_
_atom_site_label
_atom_site_fract_x
_atom_site_fract_y
_atom_site_fract_z
_atom_site_occupancy
Tm1 0.0329 0.2500 0.2252 1
Tm2 0.3258 0.7500 0.5770 1
Tm3 0.3315 0.2500 0.8994 1
Fe1 0.0548 0.2500 0.5666 1
Pb1 0.3254 0.7500 0.1969 1
# Calculated density: 10.160 g/cm³
# Distance to the lowest polymorph of the same formula: 0 meV per atom
# E_form: -0.254 eV/atom

=====

# Tm2FePb (GGA-PBE, optimized geometry)
data_Tm2FePb
_chemical_formula_sum 'Tm2 Fe1 Pb1'
_cell_length_a 3.3298
_cell_length_b 3.3298
_cell_length_c 8.1672
_cell_angle_alpha 90.00
_cell_angle_beta 90.00
_cell_angle_gamma 90.00
_symmetry_space_group_name_H-M 'P 4/m m m'
_symmetry_Int_Tables_number 123
_symmetry_space_group_name_Hall '-P 4 2'
loop_
_atom_site_label
_atom_site_fract_x
_atom_site_fract_y
_atom_site_fract_z
_atom_site_occupancy
Tm1 0.0000 0.0000 0.1946 1
Fe1 0.5000 0.5000 0.0000 1
Pb1 0.5000 0.5000 0.5000 1
# Calculated density: 11.019 g/cm³
# Distance to the lowest polymorph of the same formula: 0 meV per atom
# E_form: -0.190 eV/atom

=====

# Tm12Fe6Pb (GGA-PBE, optimized geometry)
data_Tm12Fe6Pb
_chemical_formula_sum 'Tm24 Fe12 Pb2'
_cell_length_a 9.5798
_cell_length_b 9.5798
_cell_length_c 9.5798
_cell_angle_alpha 90.00
_cell_angle_beta 90.00
_cell_angle_gamma 90.00
_symmetry_space_group_name_H-M 'I m -3'
_symmetry_Int_Tables_number 204
_symmetry_space_group_name_Hall '-I 2 2 3'
loop_
_atom_site_label
_atom_site_fract_x
_atom_site_fract_y
_atom_site_fract_z
_atom_site_occupancy
Tm1 0.0000 0.2993 0.1961 1
Fe1 0.0000 0.1104 0.5000 1
Pb1 0.0000 0.0000 0.0000 1
# Calculated density: 9.706 g/cm³
# E_form: -0.127 eV/atom

=====

# UFe4Pb (GGA-PBE, optimized geometry)
data_UFe4Pb
_chemical_formula_sum 'U4 Fe16 Pb4'
_cell_length_a 7.1744
_cell_length_b 7.1744
_cell_length_c 7.1744
_cell_angle_alpha 90.00
_cell_angle_beta 90.00
_cell_angle_gamma 90.00
_symmetry_space_group_name_H-M 'F -4 3 m'
_symmetry_Int_Tables_number 216
_symmetry_space_group_name_Hall 'F -4 2 3'
loop_
_atom_site_label
_atom_site_fract_x
_atom_site_fract_y
_atom_site_fract_z
_atom_site_occupancy
U1 0.0000 0.0000 0.0000 1
Fe1 0.1249 0.1249 0.3751 1
Pb1 0.2500 0.2500 0.7500 1
# Calculated density: 12.026 g/cm³
# E_form: 0.186 eV/atom

=====

# U2FePb (GGA-PBE, optimized geometry)
data_U2FePb
_chemical_formula_sum 'U6 Fe3 Pb3'
_cell_length_a 3.3317
_cell_length_b 3.3317
_cell_length_c 27.7247
_cell_angle_alpha 90.00
_cell_angle_beta 90.00
_cell_angle_gamma 120.00
_symmetry_space_group_name_H-M 'R -3 m'
_symmetry_Int_Tables_number 166
_symmetry_space_group_name_Hall '-R 3 2"'
loop_
_atom_site_label
_atom_site_fract_x
_atom_site_fract_y
_atom_site_fract_z
_atom_site_occupancy
U1 0.0000 0.0000 0.2294 1
Fe1 0.0000 0.0000 0.5000 1
Pb1 0.0000 0.0000 0.0000 1
# Calculated density: 13.815 g/cm³
# E_form: 0.301 eV/atom

=====

# VFe2Pb (GGA-PBE, optimized geometry)
data_VFe2Pb
_chemical_formula_sum 'V4 Fe8 Pb4'
_cell_length_a 3.9045
_cell_length_b 3.9045
_cell_length_c 17.9142
_cell_angle_alpha 90.00
_cell_angle_beta 90.00
_cell_angle_gamma 90.00
_symmetry_space_group_name_H-M 'I -4 2 d'
_symmetry_Int_Tables_number 122
_symmetry_space_group_name_Hall 'I -4 2bw'
loop_
_atom_site_label
_atom_site_fract_x
_atom_site_fract_y
_atom_site_fract_z
_atom_site_occupancy
V1 0.0000 0.0000 0.0000 1
Fe1 0.1953 0.2500 0.1250 1
Pb1 0.0000 0.0000 0.5000 1
# Calculated density: 8.995 g/cm³
# E_form: 0.774 eV/atom